# SbAsCl2 | Alexandria | GGA-PBE | optimized geometry
# Energy relative to the elements, uncorrected   0.8 eV per formula unit
# SG   P4/mmm (123)
data_SbAsCl2
_cell_length_a 4.617
_cell_length_b 4.369
_cell_length_c 4.369
_cell_angle_alpha 90.00
_cell_angle_beta 90.00
_cell_angle_gamma 90.00
_symmetry_space_group_name_H-M 'P 1'
_symmetry_Int_Tables_number 1
loop_
_symmetry_equiv_pos_as_xyz
'x,y,z'
loop_
_atom_site_label
_atom_site_type_symbol
_atom_site_fract_x
_atom_site_fract_y
_atom_site_fract_z
Cl1 Cl 0.000 0.500 0.500
Cl2 Cl 0.000 0.000 0.000
As1 As 0.500 0.000 0.500
Sb1 Sb 0.500 0.500 0.000